# PBE TbSm7Tm3, optimized geometry
# Energy relative to the lowest polymorph listed for this composition: 0.000 eV/atom
# Energy of formation: 0.121 eV/atom
data_TbSm7Tm3
_chemical_formula_sum 'Tb2 Sm14 Tm6'
_cell_length_a 7.0131
_cell_length_b 11.0606
_cell_length_c 10.1132
_cell_angle_alpha 90.00
_cell_angle_beta 110.14
_cell_angle_gamma 90.00
_space_group_name_H-M_alt 'P 1 21/m 1'
_space_group_IT_number 11
_space_group_name_Hall '-P 2yb'
loop_
_atom_site_label
_atom_site_type_symbol
_atom_site_fract_x
_atom_site_fract_y
_atom_site_fract_z
_atom_site_occupancy
Tb1 Tb 0.0000 0.0000 0.0000 1
Sm1 Sm 0.0902 0.0425 0.6790 1
Sm2 Sm 0.1636 0.7500 0.8201 1
Sm3 Sm 0.3014 0.2500 0.1041 1
Sm4 Sm 0.3470 0.7500 0.1768 1
Sm5 Sm 0.4166 0.0167 0.3305 1
Tm1 Tm 0.2464 0.2500 0.4793 1
Tm2 Tm 0.2675 0.7500 0.5164 1
Tm3 Tm 0.5000 0.0000 0.0000 1